# 1
## ScTeN2 (PBE)

Data for a relaxed structure of ScTeN2.

Cell lengths 4.988, 4.988, 10.787 Å; angles 90.00, 90.00, 90.00 degrees
Space group I-42d (No. 122)
One atom of each set of equivalent atoms:
Sc (0.000, 0.000, 0.000) (multiplicity 4)
Te (0.000, 0.000, 0.500) (multiplicity 4)
N (0.221, 0.250, 0.125) (multiplicity 8)

Formation energy (no corrections) = -26 meV/atom



# 2
## VPt2I (PBE)

Data for a relaxed structure of VPt2I.

Cell lengths 6.637, 6.637, 6.637 Å; angles 90.00, 90.00, 90.00 degrees
Space group Fm-3m (No. 225)
One atom of each set of equivalent atoms:
V (0.000, 0.000, 0.000) (multiplicity 4)
Pt (0.250, 0.250, 0.250) (multiplicity 8)
I (0.000, 0.000, 0.500) (multiplicity 4)

Energy above the most stable polymorph in this dataset = 0.109 eV per atom
Formation energy (no corrections) = 473 meV/atom



# 3
## KP2Se (PBE)

Data for a relaxed structure of KP2Se.

Cell lengths 3.6297, 3.6297, 24.3164 Å; angles 90.00, 90.00, 120.00 degrees
Space group R-3m (No. 166, hexagonal axes)
One atom of each set of equivalent atoms:
K (0.0000, 0.0000, 0.0000) (multiplicity 3)
P (0.0000, 0.0000, 0.2294) (multiplicity 6)
Se (0.0000, 0.0000, 0.5000) (multiplicity 3)

Formation energy (no corrections) = 280 meV/atom



# 4
## Li4Dy3Ga4 (PBE)

Data for a relaxed structure of Li4Dy3Ga4.

Cell lengths 3.404, 4.599, 14.564 Å; angles 80.97, 83.32, 90.00 degrees
Space group P-1 (No. 2)
One atom of each set of equivalent atoms:
Li (0.091, 0.092, 0.317) (multiplicity 2)
Li (0.242, 0.742, 0.016) (multiplicity 2)
Dy (0.358, 0.358, 0.784) (multiplicity 2)
Dy (0.500, 0.000, 0.500) (multiplicity 1)
Ga (0.048, 0.548, 0.405) (multiplicity 2)
Ga (0.183, 0.182, 0.135) (multiplicity 2)

Formation enthalpy at 0 K = -36.16 kJ per mole of atoms
Energy above the most stable polymorph in this dataset = 0.000 eV per atom



# 5
## Ag2WBr (PBE)

Data for a relaxed structure of Ag2WBr.

Cell lengths 2.944, 4.527, 13.666 Å; angles 90.00, 90.00, 90.00 degrees
Space group Imm2 (No. 44)
One atom of each set of equivalent atoms:
Ag (0.000, 0.000, 0.000) (multiplicity 2)
Ag (0.000, 0.500, 0.125) (multiplicity 2)
W (0.000, 0.000, 0.443) (multiplicity 2)
Br (0.000, 0.500, 0.789) (multiplicity 2)

Energy above the most stable polymorph in this dataset = 0.197 eV per atom
Formation energy (no corrections) = 649 meV/atom



# 6
## Ba2ZrCuIr (PBE)

Data for a relaxed structure of Ba2ZrCuIr.

Cell lengths 6.113, 6.113, 4.698 Å; angles 90.00, 90.00, 90.00 degrees
Space group P4/mmm (No. 123)
One atom of each set of equivalent atoms:
Ba (0.000, 0.500, 0.000) (multiplicity 2)
Zr (0.000, 0.000, 0.000) (multiplicity 1)
Cu (0.000, 0.000, 0.500) (multiplicity 1)
Ir (0.500, 0.500, 0.500) (multiplicity 1)

Formation enthalpy at 0 K = 129.51 kJ per mole of atoms